Record 1
Entry from the Alexandria database: crystalline Y2CuN at its relaxed geometry (PBE).

The space group is R-3m (No. 166, hexagonal axes) and the conventional cell measures 3.5454, 3.5454 and 20.7155 Å, with angles of 90.00, 90.00 and 120.00 degrees. The asymmetric unit holds Y at (0.0000, 0.0000, 0.2321), Cu at (0.0000, 0.0000, 0.0000) and N at (0.0000, 0.0000, 0.5000).

The calculated total energy is -7.101 eV/atom. The density of states at the Fermi level comes out at 10.9 states/eV/cell. The value obtained for the uncorrected formation energy is -3.05 eV per formula unit.

Record 2
Entry from the Alexandria database: crystalline Y2Cu2N at its relaxed geometry (PBE).

The space group is P4/mbm (No. 127) and the conventional cell measures 6.563, 6.563 and 4.605 Å, with angles of 90.00, 90.00 and 90.00 degrees. The asymmetric unit holds Y at (0.190, 0.310, 0.000), Cu at (0.123, 0.623, 0.500) and N at (0.000, 0.000, 0.000).

The calculated total energy is -6.008 eV/atom. The density of states at the Fermi level comes out at 9.0 states/eV/cell. The calculation puts the polymorph energy (0 for the lowest one) at 5.4 kJ per mole of atoms. The value obtained for the uncorrected formation energy is -0.59 eV per formula unit.

Record 3
Entry from the Alexandria database: crystalline Y2CuN at its relaxed geometry (PBE).

The space group is I-42d (No. 122) and the conventional cell measures 6.514, 6.514 and 8.060 Å, with angles of 90.00, 90.00 and 90.00 degrees. The asymmetric unit holds Y at (0.181, 0.250, 0.125), Cu at (0.000, 0.000, 0.500) and N at (0.000, 0.000, 0.000).

The calculated total energy is -7.010 eV/atom. The density of states at the Fermi level comes out at 1.8 states/eV/cell. The value obtained for the uncorrected formation energy is -2.69 eV per formula unit.

Record 4
Entry from the Alexandria database: crystalline Y3CuN at its relaxed geometry (PBE).

The space group is Pm-3m (No. 221) and the conventional cell measures 4.756, 4.756 and 4.756 Å, with angles of 90.00, 90.00 and 90.00 degrees. The asymmetric unit holds Y at (0.000, 0.000, 0.500), Cu at (0.500, 0.500, 0.500) and N at (0.000, 0.000, 0.000).

The calculated total energy is -6.998 eV/atom. The density of states at the Fermi level comes out at 7.7 states/eV/cell. The value obtained for the uncorrected formation energy is -3.18 eV per formula unit.